Entry 1:
VASP calculation (PBE-GGA) on Th3CoBiRh after structural relaxation.

Values from the calculation:
Its energy relative to the elements is -51.0 kJ per mole of atoms.

Lattice parameters (Å, degrees): 8.1500 4.4753 9.6768 90.00 112.27 90.00
Last column: nearest neighbours and their distance in Å.
Space group P2_1/m (No. 11)
Symmetry-distinct sites (fractional):
Th  0.1640  0.2500  0.1527  1 Co 2.63, 1 Rh 2.74
Th  0.1758  0.7500  0.4827  3 Co 2.62-2.82
Th  0.3285  0.7500  0.8917  1 Co 2.61, 2 Rh 2.91
Co  0.0179  0.7500  0.6738  5 Th 2.61-2.82, 2 Rh 2.75
Bi  0.4990  0.2500  0.7046  8 Th 3.40-3.73
Rh  0.0867  0.2500  0.8519  5 Th 2.74-3.02, 2 Co 2.75

=====

Entry 2:
VASP calculation (PBE-GGA) on TiCo2BiRh after structural relaxation.

Values from the calculation:
Its energy relative to the elements is 156.9 kJ per mole of atoms.

Lattice parameters (Å, degrees): 4.6561 4.6561 5.1329 90.00 90.00 90.00
Last column: nearest neighbours and their distance in Å.
Space group P4/mmm (No. 123)
Symmetry-distinct sites (fractional):
Ti  0.0000  0.0000  0.0000  2 Bi 2.57
Co  0.0000  0.5000  0.5000  2 Bi 2.33
Bi  0.0000  0.0000  0.5000  4 Co 2.33, 2 Ti 2.57
Rh  0.5000  0.5000  0.0000  4 Ti 3.29, 8 Co 3.47

=====

Entry 3:
VASP calculation (PBE-GGA) on ZrCoBiRh2 after structural relaxation.

Values from the calculation:
Its energy relative to the elements is 120.4 kJ per mole of atoms.

Lattice parameters (Å, degrees): 4.7657 4.7657 5.6005 90.00 90.00 90.00
Last column: nearest neighbours and their distance in Å.
Space group P4/mmm (No. 123)
Symmetry-distinct sites (fractional):
Zr  0.0000  0.0000  0.0000  4 Rh 2.38
Co  0.5000  0.5000  0.5000  4 Bi 3.37, 8 Rh 3.68
Bi  0.0000  0.0000  0.5000  2 Zr 2.80
Rh  0.0000  0.5000  0.0000  2 Zr 2.38

=====

Entry 4:
VASP calculation (PBE-GGA) on Co2BiRu after structural relaxation.

Values from the calculation:
Its energy relative to the elements is 73.4 kJ per mole of atoms.

Lattice parameters (Å, degrees): 3.9254 3.9254 17.8296 90.00 90.00 90.00
Last column: nearest neighbours and their distance in Å.
Space group I-42d (No. 122)
Symmetry-distinct sites (fractional):
Co  0.1689  0.2500  0.1250  2 Co 2.37, 2 Ru 2.52
Bi  0.0000  0.0000  0.5000  4 Co 2.76, 4 Ru 2.78
Ru  0.0000  0.0000  0.0000  4 Co 2.52, 4 Bi 2.78

=====

Entry 5:
VASP calculation (PBE-GGA) on CoBiRu3 after structural relaxation.

Values from the calculation:
The calculation puts the energy relative to the lowest polymorph listed for this composition at 0.0 meV per atom. Its energy relative to the elements is 111.1 kJ per mole of atoms.

Lattice parameters (Å, degrees): 4.4989 4.4989 4.4989 90.00 90.00 90.00
Last column: nearest neighbours and their distance in Å.
Space group Pm-3m (No. 221)
Symmetry-distinct sites (fractional):
Co  0.0000  0.0000  0.0000  6 Ru 2.25
Bi  0.5000  0.5000  0.5000  12 Ru 3.18
Ru  0.0000  0.0000  0.5000  2 Co 2.25

=====

Entry 6:
VASP calculation (PBE-GGA) on ZrCo2BiRu after structural relaxation.

Values from the calculation:
Its energy relative to the elements is 116.7 kJ per mole of atoms.

Lattice parameters (Å, degrees): 4.6478 4.6478 4.8481 90.00 90.00 90.00
Last column: nearest neighbours and their distance in Å.
Space group P4/mmm (No. 123)
Symmetry-distinct sites (fractional):
Zr  0.0000  0.0000  0.0000  4 Co 2.32, 2 Ru 2.42
Co  0.0000  0.5000  0.0000  2 Zr 2.32
Bi  0.5000  0.5000  0.5000  4 Ru 3.29, 8 Co 3.36
Ru  0.0000  0.0000  0.5000  2 Zr 2.42

=====

Entry 7:
VASP calculation (PBE-GGA) on CoBi2S4 after structural relaxation.

Values from the calculation:
The raw formation energy comes out at -0.049 eV/atom.

Lattice parameters (Å, degrees): 3.7458 12.8350 13.2232 90.00 90.00 90.00
Last column: nearest neighbours and their distance in Å.
Space group Cmcm (No. 63)
Symmetry-distinct sites (fractional):
Co  0.0000  0.1250  0.2500  6 S 2.46-2.68
Bi  0.0000  0.3667  0.0816  6 S 2.76-2.99
S  0.0000  0.0000  0.0000  4 Bi 2.76
S  0.0000  0.2893  0.6313  2 Co 2.68, 3 Bi 2.82-2.99
S  0.0000  0.4992  0.7500  2 Co 2.46

=====

Entry 8:
VASP calculation (PBE-GGA) on Co2BiS after structural relaxation.

Values from the calculation:
The raw formation energy comes out at 0.025 eV/atom.

Lattice parameters (Å, degrees): 4.6012 4.6012 13.5671 90.00 90.00 90.00
Last column: nearest neighbours and their distance in Å.
Space group I-42d (No. 122)
Symmetry-distinct sites (fractional):
Co  0.1175  0.2500  0.1250  2 S 2.12
Bi  0.0000  0.0000  0.5000  4 Co 2.70
S  0.0000  0.0000  0.0000  4 Co 2.12

=====

Entry 9:
VASP calculation (PBE-GGA) on CoBi2S after structural relaxation.

Values from the calculation:
The raw formation energy comes out at 0.292 eV/atom.

Lattice parameters (Å, degrees): 6.1058 6.1058 12.2715 90.00 90.00 90.00
Last column: nearest neighbours and their distance in Å.
Space group I-42d (No. 122)
Symmetry-distinct sites (fractional):
Co  0.0000  0.0000  0.0000  4 Bi 2.49
Bi  0.2002  0.2500  0.1250  2 Co 2.49
S  0.0000  0.0000  0.5000  4 Bi 2.83

=====

Entry 10:
VASP calculation (PBE-GGA) on Co2SnBiS after structural relaxation.

Values from the calculation:
The raw formation energy comes out at 1.235 eV/atom.

Lattice parameters (Å, degrees): 4.7722 4.7722 5.8988 90.00 90.00 90.00
Last column: nearest neighbours and their distance in Å.
Space group P4/mmm (No. 123)
Symmetry-distinct sites (fractional):
Co  0.0000  0.5000  0.0000  2 Sn 2.39
Sn  0.0000  0.0000  0.0000  4 Co 2.39
Bi  0.0000  0.0000  0.5000  2 Sn 2.95
S  0.5000  0.5000  0.5000  4 Bi 3.37

=====

Entry 11:
VASP calculation (PBE-GGA) on UCoBiS4 after structural relaxation.

Values from the calculation:
The raw formation energy comes out at -0.656 eV/atom.

Lattice parameters (Å, degrees): 6.4560 5.7014 7.8792 90.00 105.14 90.00
Last column: nearest neighbours and their distance in Å.
Space group P2_1/m (No. 11)
Symmetry-distinct sites (fractional):
U  0.2454  0.2500  0.4471  6 S 2.69-2.81
Co  0.2654  0.7500  0.6423  4 S 2.13-2.28
Bi  0.2231  0.2500  0.9654  6 S 2.74-3.02
S  0.0631  0.7500  0.3810  1 Co 2.13
S  0.0930  0.7500  0.8612  1 Co 2.28
S  0.4900  0.5057  0.2683  1 Co 2.13

=====

Entry 12:
VASP calculation (PBE-GGA) on CoBiWS2 after structural relaxation.

Values from the calculation:
The raw formation energy comes out at 2.213 eV/atom.

Lattice parameters (Å, degrees): 5.1048 5.1048 4.7081 90.00 90.00 90.00
Last column: nearest neighbours and their distance in Å.
Space group P4/mmm (No. 123)
Symmetry-distinct sites (fractional):
Co  0.0000  0.0000  0.0000  2 Bi 2.35
Bi  0.0000  0.0000  0.5000  2 Co 2.35, 4 S 2.55
W  0.5000  0.5000  0.0000  8 S 3.47, 4 Co 3.61
S  0.0000  0.5000  0.5000  2 Bi 2.55

=====

Entry 13:
VASP calculation (PBE-GGA) on CoBi2Sb after structural relaxation.

Values from the calculation:
The raw formation energy comes out at 0.386 eV/atom.

Lattice parameters (Å, degrees): 6.4015 6.4015 12.6184 90.00 90.00 90.00
Last column: nearest neighbours and their distance in Å.
Space group I-42d (No. 122)
Symmetry-distinct sites (fractional):
Co  0.0000  0.0000  0.0000  4 Bi 2.52
Bi  0.1781  0.2500  0.1250  2 Co 2.52
Sb  0.0000  0.0000  0.5000  4 Bi 3.05

=====

Entry 14:
VASP calculation (PBE-GGA) on CoBiSb3 after structural relaxation.

Values from the calculation:
The raw formation energy comes out at 1.611 eV/atom. The calculation puts the energy relative to the lowest polymorph listed for this composition at 1523.0 meV per atom.

Lattice parameters (Å, degrees): 5.7832 5.7832 5.7832 90.00 90.00 90.00
Last column: nearest neighbours and their distance in Å.
Space group Pm-3m (No. 221)
Symmetry-distinct sites (fractional):
Co  0.0000  0.0000  0.0000  12 Sb 4.09
Bi  0.5000  0.5000  0.5000  6 Sb 2.89
Sb  0.0000  0.5000  0.5000  2 Bi 2.89

=====

Entry 15:
VASP calculation (PBE-GGA) on CoBiSb after structural relaxation.

Values from the calculation:
The raw formation energy comes out at 0.150 eV/atom. The calculation puts the energy relative to the lowest polymorph listed for this composition at 172.8 meV per atom.

Lattice parameters (Å, degrees): 15.9061 6.6002 11.2359 90.00 134.92 90.00
Last column: nearest neighbours and their distance in Å.
Space group C2/c (No. 15)
Symmetry-distinct sites (fractional):
Co  0.0000  0.0000  0.0000  2 Sb 2.48
Co  0.1192  0.4789  0.3691  3 Sb 2.32-2.53
Bi  0.0000  0.1280  0.2500  4 Co 2.68-2.93
Bi  0.2494  0.2491  0.6554  2 Co 2.74
Sb  0.9999  0.3442  0.5893  3 Co 2.48-2.53
Sb  0.2500  0.2500  0.0000  2 Co 2.32

=====

Entry 16:
VASP calculation (PBE-GGA) on CoBiSb after structural relaxation.

Values from the calculation:
The raw formation energy comes out at -0.022 eV/atom. The calculation puts the energy relative to the lowest polymorph listed for this composition at 0.0 meV per atom.

Lattice parameters (Å, degrees): 3.5102 5.7037 6.5658 90.00 90.00 90.00
Last column: nearest neighbours and their distance in Å.
Space group Pmn2_1 (No. 31)
Symmetry-distinct sites (fractional):
Co  0.0000  0.2319  0.0000  3 Sb 2.54-2.55, 3 Bi 2.67-2.68
Bi  0.0000  0.4531  0.6425  3 Co 2.67-2.68
Sb  0.0000  0.0421  0.3505  3 Co 2.54-2.55

=====

Entry 17:
VASP calculation (PBE-GGA) on Co3BiSb after structural relaxation.

Values from the calculation:
The raw formation energy comes out at 0.941 eV/atom. The calculation puts the energy relative to the lowest polymorph listed for this composition at 0.0 meV per atom.

Lattice parameters (Å, degrees): 4.6815 4.6815 4.6815 90.00 90.00 90.00
Last column: nearest neighbours and their distance in Å.
Space group Pm-3m (No. 221)
Symmetry-distinct sites (fractional):
Co  0.0000  0.0000  0.5000  2 Sb 2.34
Bi  0.5000  0.5000  0.5000  12 Co 3.31
Sb  0.0000  0.0000  0.0000  6 Co 2.34

=====

Entry 18:
VASP calculation (PBE-GGA) on Co2BiSb2 after structural relaxation.

Values from the calculation:
The raw formation energy comes out at 0.234 eV/atom. The calculation puts the energy relative to the lowest polymorph listed for this composition at 0.0 meV per atom.

Lattice parameters (Å, degrees): 4.4837 4.4837 10.2221 90.00 90.00 90.00
Last column: nearest neighbours and their distance in Å.
Space group I4/mmm (No. 139)
Symmetry-distinct sites (fractional):
Co  0.0000  0.5000  0.2500  4 Sb 2.51
Bi  0.0000  0.0000  0.0000  8 Co 3.40, 10 Sb 3.48-3.68
Sb  0.0000  0.0000  0.3600  4 Co 2.51

=====

Entry 19:
VASP calculation (PBE-GGA) on CoBiSb3 after structural relaxation.

Values from the calculation:
The raw formation energy comes out at 0.282 eV/atom. The calculation puts the energy relative to the lowest polymorph listed for this composition at 193.4 meV per atom.

Lattice parameters (Å, degrees): 5.0396 5.0396 5.0396 90.00 90.00 90.00
Last column: nearest neighbours and their distance in Å.
Space group Pm-3m (No. 221)
Symmetry-distinct sites (fractional):
Co  0.0000  0.0000  0.0000  6 Sb 2.52
Bi  0.5000  0.5000  0.5000  12 Sb 3.56
Sb  0.0000  0.0000  0.5000  2 Co 2.52

=====

Entry 20:
VASP calculation (PBE-GGA) on Co2BiSb2 after structural relaxation.

Values from the calculation:
The raw formation energy comes out at 0.338 eV/atom. The calculation puts the energy relative to the lowest polymorph listed for this composition at 104.7 meV per atom.

Lattice parameters (Å, degrees): 4.2689 4.2689 11.2115 90.00 90.00 90.00
Last column: nearest neighbours and their distance in Å.
Space group I4/mmm (No. 139)
Symmetry-distinct sites (fractional):
Co  0.0000  0.0000  0.1112  1 Co 2.49, 4 Sb 2.64
Bi  0.0000  0.0000  0.5000  8 Co 3.27, 8 Sb 3.52
Sb  0.0000  0.5000  0.2500  4 Co 2.64

=====

Entry 21:
VASP calculation (PBE-GGA) on CoBiSb3 after structural relaxation.

Values from the calculation:
The raw formation energy comes out at 0.089 eV/atom. The calculation puts the energy relative to the lowest polymorph listed for this composition at 0.0 meV per atom.

Lattice parameters (Å, degrees): 6.9289 4.8945 7.5874 90.00 90.18 90.00
Last column: nearest neighbours and their distance in Å.
Space group P2_1 (No. 4)
Symmetry-distinct sites (fractional):
Co  0.0021  0.0000  0.2500  5 Sb 2.53, 1 Bi 2.68
Bi  0.3246  0.7935  0.7511  1 Co 2.68
Sb  0.1660  0.2544  0.4998  2 Co 2.53
Sb  0.1661  0.2545  0.0013  2 Co 2.53
Sb  0.3012  0.7051  0.2512  1 Co 2.53

=====

Entry 22:
VASP calculation (PBE-GGA) on Co3BiSb after structural relaxation.

Values from the calculation:
The raw formation energy comes out at 1.340 eV/atom. The calculation puts the energy relative to the lowest polymorph listed for this composition at 398.6 meV per atom.

Lattice parameters (Å, degrees): 4.7798 4.7798 4.7798 90.00 90.00 90.00
Last column: nearest neighbours and their distance in Å.
Space group Pm-3m (No. 221)
Symmetry-distinct sites (fractional):
Co  0.0000  0.0000  0.5000  2 Bi 2.39
Bi  0.0000  0.0000  0.0000  6 Co 2.39
Sb  0.5000  0.5000  0.5000  12 Co 3.38

=====

Entry 23:
VASP calculation (PBE-GGA) on Co2BiSb2 after structural relaxation.

Values from the calculation:
The raw formation energy comes out at 0.243 eV/atom. The calculation puts the energy relative to the lowest polymorph listed for this composition at 9.7 meV per atom.

Lattice parameters (Å, degrees): 7.7108 7.7108 3.2469 90.00 90.00 90.00
Last column: nearest neighbours and their distance in Å.
Space group P4/mbm (No. 127)
Symmetry-distinct sites (fractional):
Co  0.1262  0.3738  0.0000  6 Sb 2.66-2.96, 1 Co 2.75
Bi  0.0000  0.0000  0.0000  4 Co 3.04, 2 Bi 3.25, 8 Sb 3.37
Sb  0.1470  0.6470  0.5000  6 Co 2.66-2.96

=====

Entry 24:
VASP calculation (PBE-GGA) on CoBiSbSe2 after structural relaxation.

Values from the calculation:
The raw formation energy comes out at 0.207 eV/atom.

Lattice parameters (Å, degrees): 4.6720 4.6720 5.3040 90.00 90.00 90.00
Last column: nearest neighbours and their distance in Å.
Space group P4/mmm (No. 123)
Symmetry-distinct sites (fractional):
Co  0.0000  0.0000  0.0000  4 Se 2.34
Bi  0.5000  0.5000  0.5000  4 Sb 3.30, 8 Se 3.53
Sb  0.0000  0.0000  0.5000  2 Co 2.65
Se  0.0000  0.5000  0.0000  2 Co 2.34

=====

Entry 25:
VASP calculation (PBE-GGA) on CoSn2BiSb after structural relaxation.

Values from the calculation:
The raw formation energy comes out at 0.131 eV/atom.

Lattice parameters (Å, degrees): 4.9194 4.9194 5.3080 90.00 90.00 90.00
Last column: nearest neighbours and their distance in Å.
Space group P4/mmm (No. 123)
Symmetry-distinct sites (fractional):
Co  0.0000  0.0000  0.0000  4 Sn 2.46, 2 Bi 2.65
Sn  0.0000  0.5000  0.0000  2 Co 2.46
Bi  0.0000  0.0000  0.5000  2 Co 2.65
Sb  0.5000  0.5000  0.5000  4 Bi 3.48, 8 Sn 3.62